Entry 1:
DFT (GGA-PBE) results for an optimized crystal structure of CuSb2Pb.

abc: 4.168 4.168 7.220
angles: 72.81 72.81 61.68
Atoms (fractional coordinates):
Cu 0.508 0.508 0.480
Pb 0.766 0.766 0.704
Sb 0.991 0.991 0.019
Sb 0.235 0.235 0.297

Calculated values
Formation energy (no corrections) in meV/atom: 146
E in eV/atom: -3.8659

***

Entry 2:
DFT (GGA-PBE) results for an optimized crystal structure of CuSbPb2.

abc: 4.103 4.438 6.228
angles: 70.07 90.00 90.00
Atoms (fractional coordinates):
Cu 0.500 0.545 0.797
Pb 0.000 0.978 0.921
Pb 0.500 0.293 0.283
Sb 0.000 0.685 0.499

Calculated values
Formation energy (no corrections) in meV/atom: 112
E in eV/atom: -3.7968

***

Entry 3:
DFT (GGA-PBE) results for an optimized crystal structure of Cu3Sb3Pb.

abc: 7.172 7.172 7.172
angles: 90.00 90.00 90.00
Atoms (fractional coordinates):
Pb 0.500 0.500 0.500
Pb 0.000 0.000 0.000
Sb 0.000 0.250 0.500
Sb 0.000 0.750 0.500
Sb 0.500 0.000 0.750
Sb 0.750 0.500 0.000
Sb 0.500 0.000 0.250
Sb 0.250 0.500 0.000
Cu 0.250 0.000 0.500
Cu 0.000 0.500 0.250
Cu 0.500 0.750 0.000
Cu 0.750 0.000 0.500
Cu 0.000 0.500 0.750
Cu 0.500 0.250 0.000

Calculated values
Formation energy (no corrections) in meV/atom: 339
E in eV/atom: -3.7129

***

Entry 4:
DFT (GGA-PBE) results for an optimized crystal structure of CuSb2Pb.

abc: 4.083 4.484 6.154
angles: 108.60 97.51 98.28
Atoms (fractional coordinates):
Pb 0.500 0.000 0.000
Sb 0.989 0.290 0.693
Sb 0.011 0.710 0.307
Cu 0.500 0.500 0.500

Calculated values
Formation energy (no corrections) in meV/atom: 105
E in eV/atom: -3.9070